{"formula": "Cs6Ho21S34Cl", "functional": "PBEsol", "state": "relaxed", "lattice": [[8.4779, -9.6434, 0.0000], [8.4779, 9.6434, 0.0000], [-8.0326, 0.0000, 10.0261]], "species": ["Cs", "Cs", "Cs", "Cs", "Cs", "Cs", "Ho", "Ho", "Ho", "Ho", "Ho", "Ho", "Ho", "Ho", "Ho", "Ho", "Ho", "Ho", "Ho", "Ho", "Ho", "Ho", "Ho", "Ho", "Ho", "Ho", "Ho", "S", "S", "S", "S", "S", "S", "S", "S", "S", "S", "S", "S", "S", "S", "S", "S", "S", "S", "S", "S", "S", "S", "S", "S", "S", "S", "S", "S", "S", "S", "S", "S", "S", "S", "Cl"], "fractional_positions": [[0.0516, 0.8051, 0.7697], [0.1949, 0.9484, 0.2303], [0.2323, 0.2323, 0.0852], [0.7677, 0.7677, 0.9148], [0.8051, 0.0516, 0.7697], [0.9484, 0.1949, 0.2303], [0.0457, 0.4628, 0.7491], [0.0996, 0.9004, 0.5000], [0.1717, 0.5726, 0.1233], [0.2433, 0.2433, 0.7568], [0.2619, 0.4654, 0.6076], [0.3014, 0.6986, 0.5000], [0.3999, 0.6001, 0.0000], [0.4274, 0.8283, 0.8767], [0.4628, 0.0457, 0.7491], [0.4654, 0.2619, 0.6076], [0.5000, 0.5000, 0.5000], [0.5346, 0.7381, 0.3924], [0.5372, 0.9543, 0.2509], [0.5726, 0.1717, 0.1233], [0.6001, 0.3999, 0.0000], [0.6986, 0.3014, 0.5000], [0.7381, 0.5346, 0.3924], [0.7567, 0.7567, 0.2432], [0.8283, 0.4274, 0.8767], [0.9004, 0.0996, 0.5000], [0.9543, 0.5372, 0.2509], [0.0127, 0.6095, 0.9422], [0.0583, 0.0583, 0.6800], [0.0892, 0.2896, 0.5760], [0.1177, 0.5133, 0.4359], [0.1330, 0.7274, 0.3138], [0.2128, 0.4209, 0.9368], [0.2453, 0.6333, 0.8112], [0.2726, 0.8670, 0.6862], [0.2896, 0.0892, 0.5760], [0.3165, 0.3165, 0.4397], [0.3484, 0.5490, 0.3181], [0.3667, 0.7547, 0.1888], [0.3905, 0.9873, 0.0578], [0.4209, 0.2128, 0.9368], [0.4263, 0.4263, 0.8076], [0.4510, 0.6516, 0.6819], [0.4867, 0.8823, 0.5641], [0.5133, 0.1177, 0.4359], [0.5490, 0.3484, 0.3181], [0.5737, 0.5737, 0.1924], [0.5791, 0.7872, 0.0632], [0.6095, 0.0127, 0.9422], [0.6333, 0.2453, 0.8112], [0.6516, 0.4510, 0.6819], [0.6835, 0.6835, 0.5603], [0.7104, 0.9108, 0.4240], [0.7274, 0.1330, 0.3138], [0.7547, 0.3667, 0.1888], [0.7872, 0.5791, 0.0632], [0.8670, 0.2726, 0.6862], [0.8823, 0.4867, 0.5641], [0.9108, 0.7104, 0.4240], [0.9417, 0.9417, 0.3200], [0.9873, 0.3905, 0.0578], [0.0000, 0.0000, 0.0000]], "formation_energy_uncorrected_ev_per_fu": -128.029, "sg": "C2/m (12)", "n_ef_per_ev_fu": 0.000, "rho_g_cm3": 5.5, "e_tot_ev_per_atom": -6.269}